No. 1
A plane-wave DFT calculation with PBE was carried out for Cr3W after structural relaxation.

Geometry as CIF:
```
data_Cr3W
_cell_length_a 2.7693
_cell_length_b 2.7693
_cell_length_c 23.8391
_cell_angle_alpha 90.00
_cell_angle_beta 90.00
_cell_angle_gamma 120.00
_space_group_name_H-M_alt 'R -3 m'
_space_group_IT_number 166
_space_group_name_Hall '-R 3 2"'
loop_
_atom_site_label
_atom_site_type_symbol
_atom_site_fract_x
_atom_site_fract_y
_atom_site_fract_z
Cr1 Cr 0.0000 0.0000 0.0000
Cr2 Cr 0.0000 0.0000 0.2574
W1 W 0.0000 0.0000 0.5000
```

Properties
* formation energy: 0.3976 eV/atom

---

No. 2
A plane-wave DFT calculation with PBE was carried out for Cs5Sb2Cl12 after structural relaxation.

Geometry as CIF:
```
data_Cs5Sb2Cl12
_cell_length_a 13.902
_cell_length_b 14.368
_cell_length_c 9.110
_cell_angle_alpha 90.00
_cell_angle_beta 100.26
_cell_angle_gamma 90.00
_space_group_name_H-M_alt 'C 1 2/m 1'
_space_group_IT_number 12
_space_group_name_Hall '-C 2y'
loop_
_atom_site_label
_atom_site_type_symbol
_atom_site_fract_x
_atom_site_fract_y
_atom_site_fract_z
Cs1 Cs 0.000 0.000 0.000
Cs2 Cs 0.172 0.500 0.051
Cs3 Cs 0.178 0.500 0.543
Sb1 Sb 0.000 0.148 0.500
Cl1 Cl 0.001 0.500 0.758
Cl2 Cl 0.110 0.259 0.648
Cl3 Cl 0.112 0.142 0.298
Cl4 Cl 0.118 0.000 0.670
```

---

No. 3
A plane-wave DFT calculation with PBE was carried out for DyBeC after structural relaxation.

Geometry as CIF:
```
data_DyBeC
_cell_length_a 5.292
_cell_length_b 3.276
_cell_length_c 9.762
_cell_angle_alpha 90.00
_cell_angle_beta 90.00
_cell_angle_gamma 90.00
_space_group_name_H-M_alt 'P n m a'
_space_group_IT_number 62
_space_group_name_Hall '-P 2ac 2n'
loop_
_atom_site_label
_atom_site_type_symbol
_atom_site_fract_x
_atom_site_fract_y
_atom_site_fract_z
Dy1 Dy 0.107 0.250 0.140
Be1 Be 0.080 0.750 0.429
C1 C 0.225 0.250 0.481
```

Properties
* formation energy: -0.1395 eV/atom
* energy above the most stable polymorph in this dataset: 119 meV/atom

---

No. 4
A plane-wave DFT calculation with PBE was carried out for ScMnAg2 after structural relaxation.

Geometry as CIF:
```
data_ScMnAg2
_cell_length_a 5.908
_cell_length_b 5.917
_cell_length_c 4.116
_cell_angle_alpha 90.00
_cell_angle_beta 90.00
_cell_angle_gamma 90.00
_space_group_name_H-M_alt 'C m m m'
_space_group_IT_number 65
_space_group_name_Hall '-C 2 2'
loop_
_atom_site_label
_atom_site_type_symbol
_atom_site_fract_x
_atom_site_fract_y
_atom_site_fract_z
Sc1 Sc 0.000 0.000 0.000
Mn1 Mn 0.000 0.500 0.000
Ag1 Ag 0.250 0.250 0.500
```

Properties
* formation energy: 0.0635 eV/atom
* energy above the most stable polymorph in this dataset: 63 meV/atom

---

No. 5
A plane-wave DFT calculation with PBE was carried out for Ca4BiAu after structural relaxation.

Geometry as CIF:
```
data_Ca4BiAu
_cell_length_a 5.788
_cell_length_b 7.245
_cell_length_c 9.048
_cell_angle_alpha 90.00
_cell_angle_beta 98.86
_cell_angle_gamma 90.00
_space_group_name_H-M_alt 'P 1 21/m 1'
_space_group_IT_number 11
_space_group_name_Hall '-P 2yb'
loop_
_atom_site_label
_atom_site_type_symbol
_atom_site_fract_x
_atom_site_fract_y
_atom_site_fract_z
Ca1 Ca 0.151 0.250 0.064
Ca2 Ca 0.211 0.750 0.365
Ca3 Ca 0.327 0.509 0.753
Bi1 Bi 0.235 0.250 0.429
Au1 Au 0.360 0.750 0.044
```

Properties
* formation energy: -0.6290 eV/atom
* energy above the most stable polymorph in this dataset: 0 meV/atom

---

no.,N(E_F) (states/eV/cell),calculated total energy (eV/atom)
1,11.33,-10.06
2,24.70,-3.20
3,2.20,-5.99
4,8.30,-5.24
5,5.39,-3.16